Compound: AgSnAsO
Source: OQMD via LeMat-Bulk
Functional: PBE
Structure: optimized geometry

Cell and atoms, written as POSCAR:
```
AgSnAsO
1.0
4.517 0.000 0.000
0.000 4.517 0.000
0.000 0.000 8.418
Ag Sn As O
2 2 2 2
Direct
0.250 0.250 0.025
0.750 0.750 0.975
0.250 0.750 0.500
0.750 0.250 0.500
0.250 0.250 0.697
0.750 0.750 0.303
0.250 0.750 0.000
0.750 0.250 0.000
```

Summary:
Energy in eV/atom: -3.971
Symmetry: No. 129
Relative energy among the computed polymorphs in kJ/mol of formula units: 209.7